This record from Alexandria via LeMat-Bulk describes a crystal of KAgSeN2 relaxed with PBEsol. The functional is meta-GGA SCAN.

Computed properties:
Raw formation energy, eV per atom: 1.156
D(E_F), states/eV per cell: 1.55
Crystal system: tetragonal

a = 4.3205 Å, b = 4.3205 Å, c = 5.2449 Å
α = 90.00°, β = 90.00°, γ = 90.00°
Closest atoms and distances in Å follow each position.
Space group P4/mmm (No. 123)
One atom of each set of equivalent atoms:
K  0.0000  0.0000  0.0000 x1  4 Se 3.06, 8 N 3.40
Ag  0.5000  0.5000  0.5000 x1  4 N 2.16
Se  0.5000  0.5000  0.0000 x1  2 Ag 2.62
N  0.0000  0.5000  0.5000 x2  2 Ag 2.16

---

This record from Alexandria via LeMat-Bulk describes a crystal of KTi2AgN relaxed with PBEsol. The functional is meta-GGA SCAN.

Computed properties:
Raw formation energy, eV per atom: 1.785
D(E_F), states/eV per cell: 5.26
Crystal system: tetragonal

a = 4.9218 Å, b = 4.9218 Å, c = 5.9974 Å
α = 90.00°, β = 90.00°, γ = 90.00°
Closest atoms and distances in Å follow each position.
Space group P4/mmm (No. 123)
One atom of each set of equivalent atoms:
K  0.0000  0.0000  0.0000 x1  2 Ag 3.00
Ti  0.0000  0.5000  0.5000 x2  2 Ag 2.46
Ag  0.0000  0.0000  0.5000 x1  4 Ti 2.46
N  0.5000  0.5000  0.0000 x1  4 K 3.48, 8 Ti 3.88

---

This record from Alexandria via LeMat-Bulk describes a crystal of K2NaAg2 relaxed with PBEsol. The functional is meta-GGA SCAN.

Computed properties:
D(E_F), states/eV per cell: 3.97
Energy relative to the elements, meV per atom: 69
Crystal system: tetragonal

a = 8.1270 Å, b = 8.1270 Å, c = 4.9924 Å
α = 90.00°, β = 90.00°, γ = 90.00°
Closest atoms and distances in Å follow each position.
Space group P4/mbm (No. 127)
One atom of each set of equivalent atoms:
K  0.1706  0.3294  0.0000 x4  6 Ag 3.46-3.47
Na  0.0000  0.0000  0.5000 x2  4 Ag 3.24
Ag  0.1195  0.6195  0.5000 x4  1 Ag 2.75

---

This record from Alexandria via LeMat-Bulk describes a crystal of K3NaAg relaxed with PBEsol. The functional is meta-GGA SCAN.

Computed properties:
D(E_F), states/eV per cell: 3.24
Energy relative to the elements, meV per atom: 90
Crystal system: cubic
Relative energy among the computed polymorphs, meV/atom: 0.0

a = 6.4799 Å, b = 6.4799 Å, c = 6.4799 Å
α = 90.00°, β = 90.00°, γ = 90.00°
Closest atoms and distances in Å follow each position.
Space group Pm-3m (No. 221)
One atom of each set of equivalent atoms:
K  0.0000  0.0000  0.5000 x3  2 Ag 3.24
Na  0.5000  0.5000  0.5000 x1  12 K 4.58
Ag  0.0000  0.0000  0.0000 x1  6 K 3.24

---

This record from Alexandria via LeMat-Bulk describes a crystal of KNa2ReAg relaxed with PBEsol. The functional is meta-GGA SCAN.

Computed properties:
D(E_F), states/eV per cell: 3.03
Energy relative to the elements, meV per atom: 1865
Crystal system: tetragonal

a = 5.0478 Å, b = 5.0478 Å, c = 5.2762 Å
α = 90.00°, β = 90.00°, γ = 90.00°
Closest atoms and distances in Å follow each position.
Space group P4/mmm (No. 123)
One atom of each set of equivalent atoms:
K  0.0000  0.0000  0.0000 x1  4 Na 2.52, 2 Ag 2.64
Na  0.0000  0.5000  0.0000 x2  2 K 2.52
Re  0.5000  0.5000  0.5000 x1  4 Ag 3.57, 8 Na 3.65
Ag  0.0000  0.0000  0.5000 x1  2 K 2.64

---

This record from Alexandria via LeMat-Bulk describes a crystal of KAgO2 relaxed with PBEsol. The functional is meta-GGA SCAN.

Computed properties:
Raw formation energy, eV per atom: -0.805
D(E_F), states/eV per cell: 0.00
Crystal system: monoclinic

a = 6.7023 Å, b = 8.5493 Å, c = 5.7701 Å
α = 90.00°, β = 109.27°, γ = 90.00°
Closest atoms and distances in Å follow each position.
Space group C2/c (No. 15)
One atom of each set of equivalent atoms:
K  0.0000  0.1411  0.2500 x4  6 O 2.68-2.93
Ag  0.0000  0.5000  0.0000 x4  4 O 1.99
O  0.2059  0.4476  0.3288 x8  2 Ag 1.99

---

This record from Alexandria via LeMat-Bulk describes a crystal of KAgO2 relaxed with PBEsol. The functional is meta-GGA SCAN.

Computed properties:
Raw formation energy, eV per atom: -0.267
D(E_F), states/eV per cell: 5.63
Crystal system: trigonal

a = 3.4357 Å, b = 3.4357 Å, c = 19.8961 Å
α = 90.00°, β = 90.00°, γ = 120.00°
Closest atoms and distances in Å follow each position.
Space group R-3m (No. 166, hexagonal axes)
One atom of each set of equivalent atoms:
K  0.0000  0.0000  0.0000 x3  2 O 2.42
Ag  0.0000  0.0000  0.5000 x3  6 O 2.18
O  0.0000  0.0000  0.1216 x6  3 Ag 2.18, 1 K 2.42

---

This record from Alexandria via LeMat-Bulk describes a crystal of KAgO2 relaxed with PBEsol. The functional is meta-GGA SCAN.

Computed properties:
Raw formation energy, eV per atom: -0.830
Crystal system: orthorhombic

a = 2.9781 Å, b = 3.5924 Å, c = 5.8088 Å
α = 90.00°, β = 90.00°, γ = 90.00°
Closest atoms and distances in Å follow each position.
Space group Pmmm (No. 47)
One atom of each set of equivalent atoms:
K  0.0000  0.0000  0.0000 x1  8 O 2.81, 2 K 2.98
Ag  0.0000  0.5000  0.5000 x1  4 O 2.00
O  0.5000  0.5000  0.2702 x2  2 Ag 2.00

---

This record from Alexandria via LeMat-Bulk describes a crystal of K5AgS6O9 relaxed with PBEsol. The functional is meta-GGA SCAN.

Computed properties:
Raw formation energy, eV per atom: -1.604
D(E_F), states/eV per cell: 0.00
Crystal system: monoclinic

a = 10.6451 Å, b = 10.7637 Å, c = 13.9152 Å
α = 90.00°, β = 93.26°, γ = 90.00°
Closest atoms and distances in Å follow each position.
Space group P2_1/c (No. 14)
One atom of each set of equivalent atoms:
K  0.0429  0.0846  0.3397 x4  6 O 2.73-2.96
K  0.0984  0.2439  0.1017 x4  4 O 2.63-2.91
K  0.2485  0.6867  0.7324 x4  3 O 2.70-2.82
K  0.3655  0.2349  0.4225 x4  5 O 2.67-2.82
K  0.3926  0.0390  0.6732 x4  5 O 2.61-2.90
Ag  0.3516  0.5955  0.4535 x4  4 S 2.47-2.62
S  0.1177  0.1090  0.8328 x4  3 O 1.48
S  0.1406  0.5713  0.3730 x4  1 S 2.03
S  0.2200  0.5930  0.9992 x4  3 O 1.48-1.49
S  0.3768  0.1218  0.1843 x4  3 O 1.48
S  0.3810  0.6703  0.9527 x4  1 S 2.04
S  0.4582  0.5233  0.6151 x4  1 S 2.05
O  0.0036  0.6199  0.7246 x4  1 S 1.48
O  0.1133  0.6297  0.9328 x4  1 S 1.48
O  0.1185  0.1895  0.9190 x4  1 S 1.48
O  0.2022  0.6340  0.0991 x4  1 S 1.48
O  0.2224  0.1454  0.7730 x4  1 S 1.48
O  0.2370  0.0440  0.4970 x4  1 S 1.49
O  0.2592  0.0748  0.2231 x4  1 S 1.48
O  0.3511  0.2218  0.1132 x4  1 S 1.48
O  0.4691  0.1619  0.2616 x4  1 S 1.48

---

This record from Alexandria via LeMat-Bulk describes a crystal of KAgOs relaxed with PBEsol. The functional is meta-GGA SCAN.

Computed properties:
D(E_F), states/eV per cell: 4.89
Energy relative to the elements, meV per atom: 938
Crystal system: orthorhombic

a = 2.6125 Å, b = 4.5161 Å, c = 11.4937 Å
α = 90.00°, β = 90.00°, γ = 90.00°
Closest atoms and distances in Å follow each position.
Space group Imm2 (No. 44)
One atom of each set of equivalent atoms:
K  0.0000  0.0000  0.0000 x2  2 K 2.61
Ag  0.0000  0.0000  0.2754 x2  2 Ag 2.61, 4 Os 2.68
Os  0.0000  0.0000  0.7216 x2  2 Os 2.61, 4 Ag 2.68

---

This record from Alexandria via LeMat-Bulk describes a crystal of K2AgOs2 relaxed with PBEsol. The functional is meta-GGA SCAN.

Computed properties:
D(E_F), states/eV per cell: 12.95
Energy relative to the elements, meV per atom: 1685
Crystal system: tetragonal

a = 6.4225 Å, b = 6.4225 Å, c = 7.4314 Å
α = 90.00°, β = 90.00°, γ = 90.00°
Closest atoms and distances in Å follow each position.
Space group I4/mmm (No. 139)
One atom of each set of equivalent atoms:
K  0.0000  0.5000  0.2500 x4  4 Os 3.30
Ag  0.0000  0.0000  0.0000 x2  2 Os 2.61
Os  0.0000  0.0000  0.3516 x4  1 Os 2.21

---

This record from Alexandria via LeMat-Bulk describes a crystal of K2Ag2P relaxed with PBEsol. The functional is meta-GGA SCAN.

Computed properties:
D(E_F), states/eV per cell: 3.53
Energy relative to the elements, meV per atom: 96
Crystal system: tetragonal

a = 3.7186 Å, b = 3.7186 Å, c = 20.0182 Å
α = 90.00°, β = 90.00°, γ = 90.00°
Closest atoms and distances in Å follow each position.
Space group I4/mmm (No. 139)
One atom of each set of equivalent atoms:
K  0.0000  0.0000  0.0976 x4  4 P 3.28, 4 Ag 3.57
Ag  0.0000  0.5000  0.2500 x4  4 Ag 2.63
P  0.0000  0.0000  0.5000 x2  8 K 3.28